# Cs2K7Rb3

Crystalline Cs2K7Rb3 at its relaxed geometry (PBE, Alexandria via LeMat-Bulk).

Values from the calculation:
The total magnetization comes out at 0.0 Bohr magnetons per cell. The electronic total energy is -0.996 eV/atom. For the formation energy, the calculation gives 0.3 eV per formula unit. As for the crystal system: monoclinic.

Cell lengths 7.867, 4.871, 26.829 Å; angles 90.00, 93.19, 90.00 degrees
Space group P2/m (No. 10)
One atom of each set of equivalent atoms:
1 Cs 0.197 0.000 0.288 [2 per cell]
2 K 0.172 0.500 0.136 [2 per cell]
3 K 0.241 0.000 0.462 [2 per cell]
4 K 0.326 0.000 0.836 [2 per cell]
5 K 0.500 0.500 0.000 [1 per cell]
6 Rb 0.000 0.000 0.000 [1 per cell]
7 Rb 0.283 0.500 0.622 [2 per cell]

# Cs2KRb3

Crystalline Cs2KRb3 at its relaxed geometry (PBE, Alexandria via LeMat-Bulk).

Values from the calculation:
The total magnetization comes out at 0.0 Bohr magnetons per cell. The electronic total energy is -0.946 eV/atom. The value obtained for the distance to the lowest polymorph of the same formula is 0.0 kJ per mole of atoms. For the formation energy, the calculation gives 0.0 eV per formula unit. As for the crystal system: monoclinic.

Cell lengths 16.056, 9.485, 9.389 Å; angles 90.00, 124.71, 90.00 degrees
Space group C2/m (No. 12)
One atom of each set of equivalent atoms:
1 Cs 0.126 0.000 0.375 [4 per cell]
2 K 0.000 0.500 0.000 [2 per cell]
3 Rb 0.000 0.500 0.500 [2 per cell]
4 Rb 0.250 0.250 0.000 [4 per cell]

# CsK2Rb4

Crystalline CsK2Rb4 at its relaxed geometry (PBE, Alexandria via LeMat-Bulk).

Values from the calculation:
The total magnetization comes out at 0.0 Bohr magnetons per cell. The electronic total energy is -0.805 eV/atom. The value obtained for the distance to the lowest polymorph of the same formula is 16.2 kJ per mole of atoms. For the formation energy, the calculation gives 1.3 eV per formula unit. As for the crystal system: tetragonal.

Cell lengths 8.318, 8.318, 22.733 Å; angles 90.00, 90.00, 90.00 degrees
Space group I4/mmm (No. 139)
One atom of each set of equivalent atoms:
1 Cs 0.000 0.000 0.000 [2 per cell]
2 K 0.000 0.000 0.399 [4 per cell]
3 Rb 0.000 0.000 0.205 [4 per cell]
4 Rb 0.000 0.500 0.000 [4 per cell]

# Cs7K3Rb4

Crystalline Cs7K3Rb4 at its relaxed geometry (PBE, Alexandria via LeMat-Bulk).

Values from the calculation:
The total magnetization comes out at 0.0 Bohr magnetons per cell. The electronic total energy is -0.932 eV/atom. For the formation energy, the calculation gives 0.1 eV per formula unit. As for the crystal system: monoclinic.

Cell lengths 24.696, 8.184, 17.403 Å; angles 90.00, 128.87, 90.00 degrees
Space group C2/m (No. 12)
One atom of each set of equivalent atoms:
1 Cs 0.000 0.000 0.000 [2 per cell]
2 Cs 0.074 0.000 0.790 [4 per cell]
3 Cs 0.148 0.500 0.083 [4 per cell]
4 Cs 0.220 0.000 0.368 [4 per cell]
5 K 0.000 0.500 0.500 [2 per cell]
6 K 0.064 0.500 0.286 [4 per cell]
7 Rb 0.130 0.000 0.561 [4 per cell]
8 Rb 0.204 0.500 0.843 [4 per cell]

# Cs4K3Rb2

Crystalline Cs4K3Rb2 at its relaxed geometry (PBE, Alexandria via LeMat-Bulk).

Values from the calculation:
The total magnetization comes out at 0.0 Bohr magnetons per cell. The electronic total energy is -0.939 eV/atom. The value obtained for the distance to the lowest polymorph of the same formula is 1.2 kJ per mole of atoms. For the formation energy, the calculation gives 0.2 eV per formula unit. As for the crystal system: monoclinic.

Cell lengths 17.132, 23.934, 8.468 Å; angles 90.00, 90.09, 90.00 degrees
Space group C2/c (No. 15)
One atom of each set of equivalent atoms:
1 Cs 0.101 0.233 0.499 [8 per cell]
2 Cs 0.161 0.344 0.997 [8 per cell]
3 K 0.000 0.498 0.250 [4 per cell]
4 K 0.070 0.080 0.000 [8 per cell]
5 Rb 0.246 0.441 0.499 [8 per cell]

# CsK4Rb

Crystalline CsK4Rb at its relaxed geometry (PBE, Alexandria via LeMat-Bulk).

Values from the calculation:
The total magnetization comes out at 0.0 Bohr magnetons per cell. The electronic total energy is -1.033 eV/atom. The value obtained for the distance to the lowest polymorph of the same formula is 0.0 kJ per mole of atoms. For the formation energy, the calculation gives 0.0 eV per formula unit. As for the crystal system: cubic.

Cell lengths 12.590, 12.590, 12.590 Å; angles 90.00, 90.00, 90.00 degrees
Space group F-43m (No. 216)
One atom of each set of equivalent atoms:
1 Cs 0.000 0.000 0.000 [4 per cell]
2 K 0.125 0.125 0.375 [16 per cell]
3 Rb 0.250 0.250 0.750 [4 per cell]

# Cs7KRb3

Crystalline Cs7KRb3 at its relaxed geometry (PBE, Alexandria via LeMat-Bulk).

Values from the calculation:
The total magnetization comes out at 0.0 Bohr magnetons per cell. The electronic total energy is -0.871 eV/atom. For the formation energy, the calculation gives 0.4 eV per formula unit. As for the crystal system: trigonal.

Cell lengths 10.6418, 10.6418, 12.4186 Å; angles 90.00, 90.00, 120.00 degrees
Space group P3m1 (No. 156)
One atom of each set of equivalent atoms:
1 Cs 0.0000 0.0000 0.0000 [1 per cell]
2 Cs 0.3388 0.1694 0.6454 [3 per cell]
3 Cs 0.5007 0.0014 0.0034 [3 per cell]
4 K 0.3333 0.6667 0.6637 [1 per cell]
5 Rb 0.1719 0.3437 0.3345 [3 per cell]

# Cs2K2Rb15

Crystalline Cs2K2Rb15 at its relaxed geometry (PBE, Alexandria via LeMat-Bulk).

Values from the calculation:
The total magnetization comes out at 0.0 Bohr magnetons per cell. The electronic total energy is -0.937 eV/atom. For the formation energy, the calculation gives 0.6 eV per formula unit. As for the crystal system: trigonal.

Cell lengths 16.1256, 16.1256, 24.4706 Å; angles 90.00, 90.00, 120.00 degrees
Space group R-3m (No. 166, hexagonal axes)
One atom of each set of equivalent atoms:
1 Cs 0.0000 0.0000 0.1779 [6 per cell]
2 K 0.0000 0.0000 0.4051 [6 per cell]
3 Rb 0.0000 0.2968 0.5000 [18 per cell]
4 Rb 0.0000 0.5000 0.0000 [9 per cell]
5 Rb 0.0056 0.5028 0.6456 [18 per cell]

# Cs4K8Rb

Crystalline Cs4K8Rb at its relaxed geometry (PBE, Alexandria via LeMat-Bulk).

Values from the calculation:
The total magnetization comes out at 0.0 Bohr magnetons per cell. The electronic total energy is -0.990 eV/atom. For the formation energy, the calculation gives 0.3 eV per formula unit. As for the crystal system: orthorhombic.

Cell lengths 5.724, 7.552, 26.576 Å; angles 90.00, 90.00, 90.00 degrees
Space group Pmm2 (No. 25)
One atom of each set of equivalent atoms:
1 Cs 0.000 0.000 0.000 [1 per cell]
2 Cs 0.000 0.500 0.450 [1 per cell]
3 Cs 0.500 0.000 0.804 [1 per cell]
4 Cs 0.500 0.500 0.294 [1 per cell]
5 K 0.000 0.000 0.305 [1 per cell]
6 K 0.000 0.000 0.602 [1 per cell]
7 K 0.000 0.500 0.151 [1 per cell]
8 K 0.000 0.500 0.887 [1 per cell]
9 K 0.500 0.000 0.158 [1 per cell]
10 K 0.500 0.000 0.454 [1 per cell]
11 K 0.500 0.500 0.025 [1 per cell]
12 K 0.500 0.500 0.589 [1 per cell]
13 Rb 0.000 0.500 0.720 [1 per cell]

# Cs12K2Rb7

Crystalline Cs12K2Rb7 at its relaxed geometry (PBE, Alexandria via LeMat-Bulk).

Values from the calculation:
The total magnetization comes out at 0.0 Bohr magnetons per cell. The electronic total energy is -0.910 eV/atom. For the formation energy, the calculation gives 0.1 eV per formula unit. As for the crystal system: trigonal.

Cell lengths 22.0037, 22.0037, 5.1396 Å; angles 90.00, 90.00, 120.00 degrees
Space group P-3 (No. 147)
One atom of each set of equivalent atoms:
1 Cs 0.0452 0.2397 0.1787 [6 per cell]
2 Cs 0.1103 0.4884 0.8619 [6 per cell]
3 K 0.3333 0.6667 0.3080 [2 per cell]
4 Rb 0.0000 0.0000 0.5000 [1 per cell]
5 Rb 0.1397 0.7102 0.4556 [6 per cell]

# CsK2Rb9

Crystalline CsK2Rb9 at its relaxed geometry (PBE, Alexandria via LeMat-Bulk).

Values from the calculation:
The total magnetization comes out at 0.0 Bohr magnetons per cell. The electronic total energy is -0.976 eV/atom. For the formation energy, the calculation gives 0.0 eV per formula unit. As for the crystal system: tetragonal.

Cell lengths 7.116, 7.116, 21.209 Å; angles 90.00, 90.00, 90.00 degrees
Space group P4/mmm (No. 123)
One atom of each set of equivalent atoms:
1 Cs 0.000 0.000 0.000 [1 per cell]
2 K 0.000 0.000 0.337 [2 per cell]
3 Rb 0.000 0.500 0.177 [4 per cell]
4 Rb 0.000 0.500 0.500 [2 per cell]
5 Rb 0.500 0.500 0.000 [1 per cell]
6 Rb 0.500 0.500 0.338 [2 per cell]

# Cs4K6Rb19

Crystalline Cs4K6Rb19 at its relaxed geometry (PBE, Alexandria via LeMat-Bulk).

Values from the calculation:
The total magnetization comes out at 0.0 Bohr magnetons per cell. The electronic total energy is -0.906 eV/atom. For the formation energy, the calculation gives 2.1 eV per formula unit. As for the crystal system: cubic.

Cell lengths 17.768, 17.768, 17.768 Å; angles 90.00, 90.00, 90.00 degrees
Space group I23 (No. 197)
One atom of each set of equivalent atoms:
1 Cs 0.174 0.174 0.174 [8 per cell]
2 K 0.000 0.136 0.500 [12 per cell]
3 Rb 0.000 0.000 0.000 [2 per cell]
4 Rb 0.000 0.000 0.280 [12 per cell]
5 Rb 0.065 0.278 0.732 [24 per cell]

# CsK10Rb3

Crystalline CsK10Rb3 at its relaxed geometry (PBE, Alexandria via LeMat-Bulk).

Values from the calculation:
The total magnetization comes out at 0.0 Bohr magnetons per cell. The electronic total energy is -0.973 eV/atom. For the formation energy, the calculation gives 1.1 eV per formula unit. As for the crystal system: cubic.

Cell lengths 21.235, 21.235, 21.235 Å; angles 90.00, 90.00, 90.00 degrees
Space group Fm-3m (No. 225)
One atom of each set of equivalent atoms:
1 Cs 0.250 0.250 0.250 [8 per cell]
2 K 0.000 0.172 0.172 [48 per cell]
3 K 0.139 0.139 0.361 [32 per cell]
4 Rb 0.000 0.000 0.316 [24 per cell]

# Cs2K2Rb

Crystalline Cs2K2Rb at its relaxed geometry (PBE, Alexandria via LeMat-Bulk).

Values from the calculation:
The total magnetization comes out at 0.0 Bohr magnetons per cell. The electronic total energy is -0.889 eV/atom. The value obtained for the distance to the lowest polymorph of the same formula is 7.6 kJ per mole of atoms. For the formation energy, the calculation gives 0.4 eV per formula unit. As for the crystal system: tetragonal.

Cell lengths 6.755, 6.755, 22.175 Å; angles 90.00, 90.00, 90.00 degrees
Space group I4/mmm (No. 139)
One atom of each set of equivalent atoms:
1 Cs 0.000 0.500 0.250 [4 per cell]
2 K 0.000 0.000 0.092 [4 per cell]
3 Rb 0.000 0.000 0.500 [2 per cell]

# Cs2K9Rb

Crystalline Cs2K9Rb at its relaxed geometry (PBE, Alexandria via LeMat-Bulk).

Values from the calculation:
The total magnetization comes out at 0.0 Bohr magnetons per cell. The electronic total energy is -1.024 eV/atom. The value obtained for the distance to the lowest polymorph of the same formula is 1.3 kJ per mole of atoms. For the formation energy, the calculation gives 0.3 eV per formula unit. As for the crystal system: trigonal.

Cell lengths 8.8547, 8.8547, 44.4640 Å; angles 90.00, 90.00, 120.00 degrees
Space group R-3m (No. 166, hexagonal axes)
One atom of each set of equivalent atoms:
1 Cs 0.0000 0.0000 0.1432 [6 per cell]
2 K 0.0000 0.0000 0.3339 [6 per cell]
3 K 0.0000 0.0000 0.5000 [3 per cell]
4 K 0.0033 0.5017 0.9160 [18 per cell]
5 Rb 0.0000 0.0000 0.0000 [3 per cell]

# Cs6K8Rb

Crystalline Cs6K8Rb at its relaxed geometry (PBE, Alexandria via LeMat-Bulk).

Values from the calculation:
The total magnetization comes out at 0.0 Bohr magnetons per cell. The electronic total energy is -0.964 eV/atom. For the formation energy, the calculation gives 0.4 eV per formula unit. As for the crystal system: trigonal.

Cell lengths 13.4997, 13.4997, 26.2656 Å; angles 90.00, 90.00, 120.00 degrees
Space group R-3 (No. 148, hexagonal axes)
One atom of each set of equivalent atoms:
1 Cs 0.0162 0.7795 0.4042 [18 per cell]
2 K 0.0000 0.0000 0.2268 [6 per cell]
3 K 0.0518 0.7736 0.8979 [18 per cell]
4 Rb 0.0000 0.0000 0.0000 [3 per cell]

# CsK10Rb2

Crystalline CsK10Rb2 at its relaxed geometry (PBE, Alexandria via LeMat-Bulk).

Values from the calculation:
The total magnetization comes out at 0.0 Bohr magnetons per cell. The electronic total energy is -1.033 eV/atom. For the formation energy, the calculation gives 0.3 eV per formula unit. As for the crystal system: orthorhombic.

Cell lengths 15.392, 17.970, 15.151 Å; angles 90.00, 90.00, 90.00 degrees
Space group Cmcm (No. 63)
One atom of each set of equivalent atoms:
1 Cs 0.000 0.126 0.250 [4 per cell]
2 K 0.000 0.157 0.605 [8 per cell]
3 K 0.000 0.396 0.072 [8 per cell]
4 K 0.141 0.382 0.750 [8 per cell]
5 K 0.211 0.000 0.000 [8 per cell]
6 K 0.238 0.379 0.250 [8 per cell]
7 Rb 0.250 0.250 0.000 [8 per cell]

# CsKRb

Crystalline CsKRb at its relaxed geometry (PBE, Alexandria via LeMat-Bulk).

Values from the calculation:
The total magnetization comes out at 0.0 Bohr magnetons per cell. The electronic total energy is -0.876 eV/atom. The value obtained for the distance to the lowest polymorph of the same formula is 8.8 kJ per mole of atoms. For the formation energy, the calculation gives 0.3 eV per formula unit. As for the crystal system: cubic.

Cell lengths 10.905, 10.905, 10.905 Å; angles 90.00, 90.00, 90.00 degrees
Space group F-43m (No. 216)
One atom of each set of equivalent atoms:
1 Cs 0.000 0.000 0.000 [4 per cell]
2 K 0.250 0.250 0.250 [4 per cell]
3 Rb 0.000 0.000 0.500 [4 per cell]

# CsK2Rb7

Crystalline CsK2Rb7 at its relaxed geometry (PBE, Alexandria via LeMat-Bulk).

Values from the calculation:
The total magnetization comes out at 0.0 Bohr magnetons per cell. The electronic total energy is -0.954 eV/atom. The value obtained for the distance to the lowest polymorph of the same formula is 0.0 kJ per mole of atoms. For the formation energy, the calculation gives 0.3 eV per formula unit. As for the crystal system: orthorhombic.

Cell lengths 9.109, 41.375, 4.835 Å; angles 90.00, 90.00, 90.00 degrees
Space group Cmmm (No. 65)
One atom of each set of equivalent atoms:
1 Cs 0.000 0.000 0.000 [2 per cell]
2 K 0.000 0.296 0.500 [4 per cell]
3 Rb 0.000 0.198 0.000 [4 per cell]
4 Rb 0.000 0.500 0.500 [2 per cell]
5 Rb 0.250 0.103 0.500 [8 per cell]